# Re2SiPt | Alexandria | PBE | optimized geometry
# - E_tot (eV/atom) = -9.28
# - calculated density (Mg/m³) = 16.81
# - total magnetization (μB per formula unit) = 0.0
# - ΔE_f (raw) (kcal/mol of atoms) = -4.43
data_Re2SiPt
_chemical_formula_sum 'Re16 Si8 Pt8'
_cell_length_a 7.797
_cell_length_b 11.174
_cell_length_c 5.401
_cell_angle_alpha 90.00
_cell_angle_beta 90.00
_cell_angle_gamma 90.00
_symmetry_space_group_name_H-M 'F m m 2'
_symmetry_Int_Tables_number 42
_symmetry_space_group_name_Hall 'F 2 -2'
loop_
_atom_site_label
_atom_site_type_symbol
_atom_site_fract_x
_atom_site_fract_y
_atom_site_fract_z
Re1 Re 0.000 0.121 0.000
Re2 Re 0.250 0.250 0.199
Si1 Si 0.000 0.144 0.463
Pt1 Pt 0.204 0.000 0.650

# CoAg2Cl | Alexandria | PBE | optimized geometry
# - E_tot (eV/atom) = -3.48
# - calculated density (Mg/m³) = 5.80
# - total magnetization (μB per formula unit) = 1.8
# - energy above the lowest structure with this stoichiometry (meV per atom) = 50
# - ΔE_f (raw) (kcal/mol of atoms) = 4.14
data_CoAg2Cl
_chemical_formula_sum 'Co2 Ag4 Cl2'
_cell_length_a 9.100
_cell_length_b 3.000
_cell_length_c 6.547
_cell_angle_alpha 90.00
_cell_angle_beta 96.89
_cell_angle_gamma 90.00
_symmetry_space_group_name_H-M 'C 1 m 1'
_symmetry_Int_Tables_number 8
loop_
_symmetry_equiv_pos_as_xyz
'x,y,z'
'x,-y,z'
'x+1/2,y+1/2,z'
'x+1/2,-y+1/2,z'
loop_
_atom_site_label
_atom_site_type_symbol
_atom_site_fract_x
_atom_site_fract_y
_atom_site_fract_z
Co1 Co 0.000 0.000 0.000
Ag1 Ag 0.017 0.500 0.656
Ag2 Ag 0.262 0.000 0.850
Cl1 Cl 0.038 0.500 0.258

# K5In3I12 | Alexandria | PBE | optimized geometry
# - E_tot (eV/atom) = -2.48
# - calculated density (Mg/m³) = 3.14
# - total magnetization (μB per formula unit) = 0.0
# - ΔE_f (raw) (kcal/mol of atoms) = -19.91
data_K5In3I12
_chemical_formula_sum 'K40 In24 I96'
_cell_length_a 20.580
_cell_length_b 20.580
_cell_length_c 20.580
_cell_angle_alpha 90.00
_cell_angle_beta 90.00
_cell_angle_gamma 90.00
_symmetry_space_group_name_H-M 'I a -3 d'
_symmetry_Int_Tables_number 230
_symmetry_space_group_name_Hall '-I 4bd 2c 3'
loop_
_atom_site_label
_atom_site_type_symbol
_atom_site_fract_x
_atom_site_fract_y
_atom_site_fract_z
K1 K 0.000 0.000 0.000
K2 K 0.000 0.250 0.375
In1 In 0.000 0.250 0.125
I1 I 0.024 0.046 0.341

# Sc2InB2 | Alexandria | PBE | optimized geometry
# - E_tot (eV/atom) = -5.34
# - calculated density (Mg/m³) = 4.20
# - total magnetization (μB per formula unit) = 0.0
# - energy above the lowest structure with this stoichiometry (meV per atom) = 37
# - ΔH_f (0 K) (eV per formula unit) = 2.04
data_Sc2InB2
_chemical_formula_sum 'Sc4 In2 B4'
_cell_length_a 3.904
_cell_length_b 3.904
_cell_length_c 11.755
_cell_angle_alpha 90.00
_cell_angle_beta 90.00
_cell_angle_gamma 90.00
_symmetry_space_group_name_H-M 'I 4/m m m'
_symmetry_Int_Tables_number 139
_symmetry_space_group_name_Hall '-I 4 2'
loop_
_atom_site_label
_atom_site_type_symbol
_atom_site_fract_x
_atom_site_fract_y
_atom_site_fract_z
Sc1 Sc 0.000 0.000 0.148
In1 In 0.000 0.000 0.500
B1 B 0.000 0.500 0.250

# Cs2CdBi | Alexandria | PBE | optimized geometry
# - E_tot (eV/atom) = -1.72
# - calculated density (Mg/m³) = 4.85
# - total magnetization (μB per formula unit) = 1.0
# - energy above the lowest structure with this stoichiometry (meV per atom) = 170
# - ΔH_f (0 K) (eV per formula unit) = -0.38
data_Cs2CdBi
_chemical_formula_sum 'Cs8 Cd4 Bi4'
_cell_length_a 9.301
_cell_length_b 9.301
_cell_length_c 9.301
_cell_angle_alpha 90.00
_cell_angle_beta 90.00
_cell_angle_gamma 90.00
_symmetry_space_group_name_H-M 'F m -3 m'
_symmetry_Int_Tables_number 225
_symmetry_space_group_name_Hall '-F 4 2 3'
loop_
_atom_site_label
_atom_site_type_symbol
_atom_site_fract_x
_atom_site_fract_y
_atom_site_fract_z
Cs1 Cs 0.250 0.250 0.250
Cd1 Cd 0.000 0.000 0.000
Bi1 Bi 0.000 0.000 0.500

# HfZrPd2 | Alexandria | PBE | optimized geometry
# - E_tot (eV/atom) = -7.83
# - calculated density (Mg/m³) = 10.71
# - total magnetization (μB per formula unit) = 0.0
# - energy above the lowest structure with this stoichiometry (meV per atom) = 0
# - ΔH_f (0 K) (eV per formula unit) = -2.45
data_HfZrPd2
_chemical_formula_sum 'Hf1 Zr1 Pd2'
_cell_length_a 3.298
_cell_length_b 3.298
_cell_length_c 6.875
_cell_angle_alpha 90.00
_cell_angle_beta 90.00
_cell_angle_gamma 90.00
_symmetry_space_group_name_H-M 'P 4/m m m'
_symmetry_Int_Tables_number 123
_symmetry_space_group_name_Hall '-P 4 2'
loop_
_atom_site_label
_atom_site_type_symbol
_atom_site_fract_x
_atom_site_fract_y
_atom_site_fract_z
Hf1 Hf 0.000 0.000 0.000
Zr1 Zr 0.000 0.000 0.500
Pd1 Pd 0.500 0.500 0.231